(1)
Cs2CoAgBr6, relaxed, DFT PBE-GGA; E_tot = -3.080 eV per atom; raw formation energy = -9.10 eV per formula unit
1.0
-6.8920 0.8072 -0.6726
-0.4830 -6.8614 -3.2850
-0.6612 0.6587 7.5652
Cs Co Ag Br
2 1 1 6
Cartesian
-2.1066 -1.6718 3.8016
-5.9295 -3.7238 -0.1940
0.0000 0.0000 0.0000
-3.4460 0.4036 -0.3363
-5.7635 -0.1982 1.2615
-6.1238 0.1606 5.3832
-6.3869 -3.5776 3.5935
-1.9124 -5.5562 -1.7756
-1.6493 -1.8179 0.0141
-2.2726 -5.1973 2.3461


(2)
CsCoAgBr5, relaxed, DFT PBE-GGA; E_tot = -3.082 eV per atom; raw formation energy = -5.48 eV per formula unit
1.0
-3.0537 -0.1430 -7.7359
4.2520 -7.1008 0.8302
-7.7374 -1.8893 5.0643
Cs Co Ag Br
2 2 2 10
Cartesian
-0.2621 -5.1162 -0.9286
-6.2769 -4.0169 -0.9128
-2.7682 -2.7295 -3.8670
-3.7709 -6.4037 2.0256
-3.8687 -0.9447 2.5322
0.0000 0.0000 0.0000
1.7395 -7.0225 1.4184
-8.2786 -2.1107 -3.2597
-2.4166 -2.5844 -6.1895
-4.1224 -6.5488 4.3481
-4.6492 -1.4179 -3.3379
-1.8898 -7.7152 1.4965
-3.2056 -4.9354 -3.2176
-3.3334 -4.1978 1.3762
-0.8531 -1.9309 -2.7837
-5.6860 -7.2022 0.9423


Among the records above, which one has the highest raw formation energy?
CsCoAgBr5


Copy entry 2 word for word.
CsCoAgBr5, relaxed, DFT PBE-GGA; E_tot = -3.082 eV per atom; raw formation energy = -5.48 eV per formula unit
1.0
-3.0537 -0.1430 -7.7359
4.2520 -7.1008 0.8302
-7.7374 -1.8893 5.0643
Cs Co Ag Br
2 2 2 10
Cartesian
-0.2621 -5.1162 -0.9286
-6.2769 -4.0169 -0.9128
-2.7682 -2.7295 -3.8670
-3.7709 -6.4037 2.0256
-3.8687 -0.9447 2.5322
0.0000 0.0000 0.0000
1.7395 -7.0225 1.4184
-8.2786 -2.1107 -3.2597
-2.4166 -2.5844 -6.1895
-4.1224 -6.5488 4.3481
-4.6492 -1.4179 -3.3379
-1.8898 -7.7152 1.4965
-3.2056 -4.9354 -3.2176
-3.3334 -4.1978 1.3762
-0.8531 -1.9309 -2.7837
-5.6860 -7.2022 0.9423


The highest raw formation energy belongs to which entry?
CsCoAgBr5